The following is a PBE-GGA calculation of a geometry-optimized LaP2W structure, from Alexandria.

DFT total energy: -30.640 eV per cell
N(E_F): 2.0 states/eV per cell
Energy relative to the lowest polymorph listed for this composition: 0.201 eV per atom
Formation enthalpy at 0 K: -1.94 eV per formula unit

Lattice parameters (Å, degrees): 3.1990 3.1976 7.6724 65.38 90.00 90.00
Fractional coordinates of all 4 atoms:
La1 0.5000 0.7500 0.7500
P1 0.0000 0.9446 0.0553
P2 0.0000 0.5554 0.4447
W1 0.5000 0.2500 0.2500